# 1
Material: CsBa2NiH8
Method: DFT, PBE
State: relaxed

Calculated values
- Magnetization: 0.01 μB per cell
- Total energy: -40.56 eV per formula unit
- Symmetry: No. 164

Cell: 5.2554 5.2554 7.7304 Å, 90.00 90.00 120.00°
Fractional positions:
Cs 0.0000 0.0000 0.5000
Ba 0.6667 0.3333 0.2036
Ba 0.3333 0.6667 0.7964
Ni 0.0000 0.0000 0.0000
H 0.8561 0.7123 0.8880
H 0.2877 0.1439 0.8880
H 0.8561 0.1439 0.8880
H 0.1439 0.2877 0.1120
H 0.7123 0.8561 0.1120
H 0.1439 0.8561 0.1120
H 0.6667 0.3333 0.5539
H 0.3333 0.6667 0.4461



# 2
Material: TaGaBiO5
Method: DFT, PBE
State: relaxed

Calculated values
- Magnetization: 0.00 μB per cell
- Total energy: -59.35 eV per formula unit
- Symmetry: No. 15

Cell: 5.8227 5.8227 7.6352 Å, 103.84 103.84 106.83°
Fractional positions:
Ta 0.0000 0.0000 0.5000
Ta 0.0000 0.0000 0.0000
Ga 0.6857 0.3143 0.2500
Ga 0.3143 0.6857 0.7500
Bi 0.3368 0.6632 0.2500
Bi 0.6632 0.3368 0.7500
O 0.0619 0.9381 0.2500
O 0.9381 0.0619 0.7500
O 0.8936 0.2951 0.0980
O 0.1064 0.7049 0.9020
O 0.7049 0.1064 0.4020
O 0.2951 0.8936 0.5980
O 0.7448 0.6448 0.4022
O 0.2552 0.3552 0.5978
O 0.3552 0.2552 0.0978
O 0.6448 0.7448 0.9022



# 3
Material: YMn2Tc
Method: DFT, PBE
State: relaxed

Calculated values
- Magnetization: 0.00 μB per cell
- E_form: 0.379 eV/atom
- Relative energy among the computed polymorphs: 0.75 eV/f.u.
- Symmetry: No. 225

Cell: 4.4037 4.4037 4.4037 Å, 60.00 60.00 60.00°
Fractional positions:
Y 0.0000 0.0000 0.0000
Mn 0.2500 0.2500 0.2500
Mn 0.7500 0.7500 0.7500
Tc 0.5000 0.5000 0.5000



# 4
Material: GeO
Method: DFT, PBE
State: relaxed

Calculated values
- Magnetization: 0.00 μB per cell
- Total energy: -11.55 eV per formula unit
- Symmetry: No. 217

Cell: 8.5472 8.5472 8.5472 Å, 90.00 90.00 90.00°
Fractional positions:
Ge 0.3773 0.3773 0.3773
Ge 0.3773 0.6227 0.6227
Ge 0.6227 0.3773 0.6227
Ge 0.6227 0.6227 0.3773
Ge 0.8773 0.8773 0.8773
Ge 0.8773 0.1227 0.1227
Ge 0.1227 0.8773 0.1227
Ge 0.1227 0.1227 0.8773
O 0.1098 0.1098 0.1098
O 0.1098 0.8902 0.8902
O 0.8902 0.1098 0.8902
O 0.8902 0.8902 0.1098
O 0.6098 0.6098 0.6098
O 0.6098 0.3902 0.3902
O 0.3902 0.6098 0.3902
O 0.3902 0.3902 0.6098